(1)
The following is a DFT calculation (PBE) of Nd4PRhI2 after structural relaxation.

Computed properties:
Its energy is -5.452 eV/atom. Its crystal system is monoclinic. The calculation puts the density of states at the Fermi level at 0.716 states/eV per atom. The calculation puts the density at 6.5 Mg/m³.

a = 7.6115 Å, b = 4.1284 Å, c = 8.1430 Å
α = 90.00°, β = 106.36°, γ = 90.00°
Space group P2/m (No. 10)
Symmetry-distinct sites (fractional):
Nd 0.2184 0.0000 0.1856
Nd 0.2697 0.5000 0.8101
P 0.5000 0.0000 0.0000
Rh 0.0000 0.5000 0.0000
I 0.0000 0.0000 0.5000
I 0.5000 0.5000 0.5000

---

(2)
The following is a DFT calculation (PBE) of ScVP2 after structural relaxation.

Computed properties:
The calculation puts the energy relative to the elements at -0.591 eV per atom. Its energy is -7.159 eV/atom. Its crystal system is cubic. The calculation puts the density of states at the Fermi level at 0.660 states/eV per atom. The calculation puts the density at 4.3 Mg/m³.

a = 6.2494 Å, b = 6.2494 Å, c = 6.2494 Å
α = 90.00°, β = 90.00°, γ = 90.00°
Space group Fm-3m (No. 225)
Symmetry-distinct sites (fractional):
Sc 0.0000 0.0000 0.0000
V 0.0000 0.0000 0.5000
P 0.2500 0.2500 0.2500

---

(3)
The following is a DFT calculation (PBE) of NpP2Os after structural relaxation.

Computed properties:
The calculation puts the energy relative to the elements at -0.367 eV per atom. Its energy is -9.114 eV/atom. Its crystal system is trigonal. The calculation puts the density of states at the Fermi level at 1.709 states/eV per atom. The calculation puts the density at 11.6 Mg/m³.

a = 3.6960 Å, b = 3.6960 Å, c = 17.8095 Å
α = 90.00°, β = 90.00°, γ = 120.00°
Space group R3m (No. 160, hexagonal axes)
Symmetry-distinct sites (fractional):
Np 0.0000 0.0000 0.0000
P 0.0000 0.0000 0.4331
P 0.0000 0.0000 0.5693
Os 0.0000 0.0000 0.1794

---

(4)
The following is a DFT calculation (PBE) of NaCd6Au after structural relaxation.

Computed properties:
The calculation puts the energy relative to the elements at -0.081 eV per atom. Its energy is -1.342 eV/atom. Its crystal system is orthorhombic. The calculation puts the density of states at the Fermi level at 0.323 states/eV per atom. The calculation puts the density at 8.4 Mg/m³.

a = 4.7308 Å, b = 7.3928 Å, c = 10.1429 Å
α = 90.00°, β = 90.00°, γ = 90.00°
Space group Amm2 (No. 38)
Symmetry-distinct sites (fractional):
Na 0.0000 0.0000 0.0000
Cd 0.0000 0.2135 0.2806
Cd 0.5000 0.0000 0.1973
Cd 0.5000 0.0000 0.7584
Cd 0.5000 0.2069 0.4815
Au 0.0000 0.0000 0.5721

---

(5)
The following is a DFT calculation (PBE) of LiZnSb2 after structural relaxation.

Computed properties:
Its energy is -2.969 eV/atom. Its crystal system is trigonal. The calculation puts the density of states at the Fermi level at 0.296 states/eV per atom. The calculation puts the density at 5.9 Mg/m³.

a = 3.4867 Å, b = 3.4867 Å, c = 25.3349 Å
α = 90.00°, β = 90.00°, γ = 120.00°
Space group R-3m (No. 166, hexagonal axes)
Symmetry-distinct sites (fractional):
Li 0.0000 0.0000 0.0000
Zn 0.0000 0.0000 0.5000
Sb 0.0000 0.0000 0.2470

---

(6)
The following is a DFT calculation (PBE) of GaBiSF2 after structural relaxation.

Computed properties:
Its energy is -4.253 eV/atom. Its crystal system is tetragonal. The calculation puts the density of states at the Fermi level at 0.000 states/eV per atom. The calculation puts the density at 6.1 Mg/m³.

a = 3.9618 Å, b = 3.9618 Å, c = 6.0237 Å
α = 90.00°, β = 90.00°, γ = 90.00°
Space group P4/mmm (No. 123)
Symmetry-distinct sites (fractional):
Ga 0.0000 0.0000 0.0000
Bi 0.0000 0.0000 0.5000
S 0.5000 0.5000 0.5000
F 0.0000 0.5000 0.0000

---

Number 5 is which compound?
LiZnSb2